[1]
A plane-wave DFT calculation with GGA-PBE was carried out for an optimized crystal structure of BaLaCuTe3.

Computed properties:
Uncorrected formation energy, eV/f.u.: -7.9
Raw total energy, eV/atom: -4.70

a b c (Å): 11.9944 4.5529 15.0174
angles (deg): 90.00 90.00 90.00
Space group Pnma (No. 62)
Unique sites:
Ba: 0.2248 0.2500 0.0016 x4
La: 0.0174 0.7500 0.2580 x4
Cu: 0.2385 0.7500 0.7808 x4
Te: 0.0547 0.7500 0.8834 x4
Te: 0.0926 0.2500 0.3951 x4
Te: 0.2370 0.2500 0.6789 x4

[2]
A plane-wave DFT calculation with GGA-PBE was carried out for an optimized crystal structure of BaLaZn2Cu.

Computed properties:
DFT formation energy, eV/atom: 0.2025
Raw total energy, eV/atom: -2.50
N(E_F), states/eV per atom: 0.689

a b c (Å): 4.9213 4.9213 5.5055
angles (deg): 90.00 90.00 90.00
Space group P4/mmm (No. 123)
Unique sites:
Ba: 0.0000 0.0000 0.0000 x1
La: 0.5000 0.5000 0.0000 x1
Zn: 0.0000 0.5000 0.5000 x2
Cu: 0.0000 0.0000 0.5000 x1

[3]
A plane-wave DFT calculation with GGA-PBE was carried out for an optimized crystal structure of BaLiCu2.

Computed properties:
DFT formation energy, eV/atom: 0.2461
Raw total energy, eV/atom: -2.76
N(E_F), states/eV per atom: 0.420
Excess energy over the best structure of this formula in the dataset, eV per atom: 0.273

a b c (Å): 7.2211 7.2364 3.7118
angles (deg): 90.00 90.00 90.00
Space group Cmmm (No. 65)
Unique sites:
Ba: 0.0000 0.0000 0.0000 x2
Li: 0.0000 0.5000 0.0000 x2
Cu: 0.2500 0.2500 0.5000 x4

[4]
A plane-wave DFT calculation with GGA-PBE was carried out for an optimized crystal structure of BaLiCu2.

Computed properties:
DFT formation energy, eV/atom: 0.0069
Raw total energy, eV/atom: -3.00
N(E_F), states/eV per atom: 0.838
Excess energy over the best structure of this formula in the dataset, eV per atom: 0.034

a b c (Å): 7.5996 4.3803 6.2014
angles (deg): 90.00 113.92 90.00
Space group Cm (No. 8)
Unique sites:
Ba: 0.0000 0.0000 0.0000 x2
Li: 0.3143 0.5000 0.4451 x2
Cu: 0.0173 0.5000 0.5541 x2
Cu: 0.1971 0.0000 0.5934 x2

no.,magnetic moment (μB/atom)
1,0.000
2,0.000
3,0.000
4,0.000